(1)
{
  "formula": "Al4Si",
  "functional": "PBE",
  "state": "relaxed",
  "space_group": "No. 166",
  "de_polymorph_mev_per_atom": 27,
  "e_form_raw_ev_per_atom": 0.105,
  "lattice": [[11.246, -1.436, -0.018], [11.246, 1.436, -0.018], [11.067, 0.000, 2.462]],
  "species": ["Al", "Al", "Al", "Al", "Si"],
  "fractional_positions": [[0.397, 0.397, 0.397], [0.799, 0.799, 0.799], [0.201, 0.201, 0.201], [0.603, 0.603, 0.603], [0.000, 0.000, 0.000]]
}

(2)
{
  "formula": "AlSi",
  "functional": "PBE",
  "state": "relaxed",
  "space_group": "No. 87",
  "e_form_raw_ev_per_atom": 0.363,
  "lattice": [[-6.170, 6.569, 4.044], [-6.552, -7.196, 1.691], [1.521, -0.608, 3.308]],
  "species": ["Al", "Al", "Al", "Al", "Al", "Al", "Al", "Al", "Si", "Si", "Si", "Si", "Si", "Si", "Si", "Si"],
  "fractional_positions": [[0.449, 0.856, 0.000], [0.551, 0.144, 0.000], [0.144, 0.449, 0.000], [0.856, 0.551, 0.000], [0.949, 0.356, 0.500], [0.051, 0.644, 0.500], [0.644, 0.949, 0.500], [0.356, 0.051, 0.500], [0.326, 0.259, 0.000], [0.674, 0.741, 0.000], [0.741, 0.326, 0.000], [0.259, 0.674, 0.000], [0.826, 0.759, 0.500], [0.174, 0.241, 0.500], [0.241, 0.826, 0.500], [0.759, 0.174, 0.500]]
}

(3)
{
  "formula": "Al4Si",
  "functional": "PBE",
  "state": "relaxed",
  "space_group": "No. 87",
  "de_polymorph_mev_per_atom": 0,
  "e_form_raw_ev_per_atom": 0.078,
  "lattice": [[4.913, -0.009, 0.000], [-3.318, 3.623, 0.000], [-0.797, -1.807, 4.498]],
  "species": ["Al", "Al", "Al", "Al", "Si"],
  "fractional_positions": [[0.798, 0.400, 0.198], [0.400, 0.202, 0.602], [0.202, 0.600, 0.802], [0.600, 0.798, 0.398], [0.000, 0.000, 0.000]]
}

(4)
{
  "formula": "AlSi",
  "functional": "PBE",
  "state": "relaxed",
  "space_group": "No. 2",
  "e_form_raw_ev_per_atom": 0.118,
  "lattice": [[-1.825, -3.712, 0.767], [0.047, -1.536, 3.926], [-4.902, 0.978, 2.616]],
  "species": ["Si", "Si", "Al", "Al"],
  "fractional_positions": [[0.925, 0.308, 0.206], [0.075, 0.692, 0.794], [0.241, 0.617, 0.304], [0.759, 0.383, 0.696]]
}